Record 1
An optimized crystal structure of MnBeZnIr. Source: Alexandria via LeMat-Bulk, functional GGA-PBE.

Cell: 9.129 2.959 4.188 Å, 90.00 116.13 90.00°
Space group Cm (No. 8)
One atom of each set of equivalent atoms:
Mn  0.000  0.000  0.000 [2 per cell]
Be  0.005  0.500  0.520 [2 per cell]
Zn  0.273  0.500  0.251 [2 per cell]
Ir  0.224  0.000  0.701 [2 per cell]

=====

Record 2
An optimized crystal structure of MnBeZnIr. Source: Alexandria via LeMat-Bulk, functional GGA-PBE.

Cell: 8.715 2.970 4.304 Å, 90.00 113.60 90.00°
Space group Cm (No. 8)
One atom of each set of equivalent atoms:
Mn  0.000  0.000  0.000 [2 per cell]
Be  0.239  0.500  0.319 [2 per cell]
Zn  0.235  0.000  0.780 [2 per cell]
Ir  0.462  0.000  0.461 [2 per cell]

=====

Record 3
An optimized crystal structure of MnBeZnIr. Source: Alexandria via LeMat-Bulk, functional GGA-PBE.

Cell: 2.960 3.996 4.238 Å, 90.00 90.00 90.00°
Space group Pmmm (No. 47)
One atom of each set of equivalent atoms:
Mn  0.000  0.000  0.000 [1 per cell]
Be  0.000  0.500  0.500 [1 per cell]
Zn  0.500  0.500  0.000 [1 per cell]
Ir  0.500  0.000  0.500 [1 per cell]

=====

Record 4
An optimized crystal structure of MnBeZnIr. Source: Alexandria via LeMat-Bulk, functional GGA-PBE.

Cell: 3.886 2.671 9.302 Å, 90.00 90.00 90.00°
Space group Amm2 (No. 38)
One atom of each set of equivalent atoms:
Mn  0.000  0.000  0.000 [2 per cell]
Be  0.500  0.000  0.864 [2 per cell]
Zn  0.000  0.000  0.268 [2 per cell]
Ir  0.500  0.000  0.602 [2 per cell]

=====

Record 5
An optimized crystal structure of BeMo2Ir. Source: Alexandria via LeMat-Bulk, functional GGA-PBE.

Cell: 2.756 4.417 9.030 Å, 90.00 90.00 90.00°
Space group Imm2 (No. 44)
One atom of each set of equivalent atoms:
Be  0.000  0.000  0.000 [2 per cell]
Mo  0.000  0.000  0.474 [2 per cell]
Mo  0.000  0.500  0.273 [2 per cell]
Ir  0.000  0.500  0.702 [2 per cell]

=====

Record 6
An optimized crystal structure of Be2MoIr. Source: Alexandria via LeMat-Bulk, functional GGA-PBE.

Output
Energy above the lowest structure with this stoichiometry ... 0.0208 eV per atom

Cell: 2.798 2.798 5.944 Å, 90.00 90.00 90.00°
Space group P4/mmm (No. 123)
One atom of each set of equivalent atoms:
Be  0.000  0.000  0.214 [2 per cell]
Mo  0.500  0.500  0.500 [1 per cell]
Ir  0.500  0.500  0.000 [1 per cell]

=====

Record 7
An optimized crystal structure of BeMo2Ir. Source: Alexandria via LeMat-Bulk, functional GGA-PBE.

Cell: 3.620 3.620 8.494 Å, 90.00 90.00 90.00°
Space group I4/mmm (No. 139)
One atom of each set of equivalent atoms:
Be  0.000  0.000  0.000 [2 per cell]
Mo  0.000  0.500  0.250 [4 per cell]
Ir  0.000  0.000  0.500 [2 per cell]

=====

Record 8
An optimized crystal structure of Be2MoIr. Source: Alexandria via LeMat-Bulk, functional GGA-PBE.

Output
Energy above the lowest structure with this stoichiometry ... 0.3041 eV per atom

Cell: 2.842 3.888 4.505 Å, 90.00 90.00 90.00°
Space group Pmmm (No. 47)
One atom of each set of equivalent atoms:
Be  0.000  0.000  0.000 [1 per cell]
Be  0.500  0.000  0.500 [1 per cell]
Mo  0.000  0.500  0.500 [1 per cell]
Ir  0.500  0.500  0.000 [1 per cell]

=====

Record 9
An optimized crystal structure of BeMo2Ir. Source: Alexandria via LeMat-Bulk, functional GGA-PBE.

Cell: 2.743 4.174 4.949 Å, 90.00 97.28 90.00°
Space group Pm (No. 6)
One atom of each set of equivalent atoms:
Be  0.000  0.000  0.000 [1 per cell]
Mo  0.428  0.500  0.802 [1 per cell]
Mo  0.620  0.000  0.503 [1 per cell]
Ir  0.024  0.500  0.266 [1 per cell]

=====

Record 10
An optimized crystal structure of BeMo2Ir. Source: Alexandria via LeMat-Bulk, functional GGA-PBE.

Cell: 8.752 2.718 4.824 Å, 90.00 97.69 90.00°
Space group Cm (No. 8)
One atom of each set of equivalent atoms:
Be  0.000  0.000  0.000 [2 per cell]
Mo  0.016  0.500  0.508 [2 per cell]
Mo  0.251  0.500  0.231 [2 per cell]
Ir  0.263  0.000  0.765 [2 per cell]

=====

Record 11
An optimized crystal structure of Be3MoIr. Source: Alexandria via LeMat-Bulk, functional GGA-PBE.

Output
Energy above the lowest structure with this stoichiometry ... 0.0000 eV per atom

Cell: 4.105 4.105 4.105 Å, 90.00 90.00 90.00°
Space group Pm-3m (No. 221)
One atom of each set of equivalent atoms:
Be  0.000  0.000  0.500 [3 per cell]
Mo  0.500  0.500  0.500 [1 per cell]
Ir  0.000  0.000  0.000 [1 per cell]

=====

Record 12
An optimized crystal structure of BeMo2Ir. Source: Alexandria via LeMat-Bulk, functional GGA-PBE.

Cell: 2.752 2.752 7.206 Å, 90.00 90.00 90.00°
Space group P4mm (No. 99)
One atom of each set of equivalent atoms:
Be  0.000  0.000  0.000 [1 per cell]
Mo  0.000  0.000  0.447 [1 per cell]
Mo  0.500  0.500  0.763 [1 per cell]
Ir  0.500  0.500  0.184 [1 per cell]

=====

Record 13
An optimized crystal structure of Be2MoIr. Source: Alexandria via LeMat-Bulk, functional GGA-PBE.

Output
Energy above the lowest structure with this stoichiometry ... 0.0000 eV per atom

Cell: 3.703 2.826 8.707 Å, 90.00 90.00 90.00°
Space group Amm2 (No. 38)
One atom of each set of equivalent atoms:
Be  0.000  0.000  0.000 [2 per cell]
Be  0.500  0.000  0.138 [2 per cell]
Mo  0.500  0.000  0.410 [2 per cell]
Ir  0.000  0.000  0.717 [2 per cell]

=====

Record 14
An optimized crystal structure of BeMo2Ir. Source: Alexandria via LeMat-Bulk, functional GGA-PBE.

Cell: 3.097 3.097 5.821 Å, 90.00 90.00 90.00°
Space group P4mm (No. 99)
One atom of each set of equivalent atoms:
Be  0.000  0.000  0.000 [1 per cell]
Mo  0.000  0.000  0.509 [1 per cell]
Mo  0.500  0.500  0.750 [1 per cell]
Ir  0.500  0.500  0.200 [1 per cell]

=====

Record 15
An optimized crystal structure of Be2MoIr. Source: Alexandria via LeMat-Bulk, functional GGA-PBE.

Output
Energy above the lowest structure with this stoichiometry ... 0.1399 eV per atom

Cell: 5.706 5.706 5.706 Å, 90.00 90.00 90.00°
Space group Fm-3m (No. 225)
One atom of each set of equivalent atoms:
Be  0.250  0.250  0.250 [8 per cell]
Mo  0.000  0.000  0.000 [4 per cell]
Ir  0.000  0.000  0.500 [4 per cell]

=====

Record 16
An optimized crystal structure of Be2MoIr. Source: Alexandria via LeMat-Bulk, functional GGA-PBE.

Output
Energy above the lowest structure with this stoichiometry ... 0.3065 eV per atom

Cell: 2.787 4.568 7.894 Å, 90.00 90.00 90.00°
Space group Immm (No. 71)
One atom of each set of equivalent atoms:
Be  0.000  0.000  0.237 [4 per cell]
Mo  0.000  0.500  0.000 [2 per cell]
Ir  0.000  0.500  0.500 [2 per cell]

=====

Record 17
An optimized crystal structure of Be2MoIr. Source: Alexandria via LeMat-Bulk, functional GGA-PBE.

Output
Energy above the lowest structure with this stoichiometry ... 0.7298 eV per atom

Cell: 3.639 3.639 16.517 Å, 90.00 90.00 90.00°
Space group I-42d (No. 122)
One atom of each set of equivalent atoms:
Be  0.224  0.250  0.125 [8 per cell]
Mo  0.000  0.000  0.500 [4 per cell]
Ir  0.000  0.000  0.000 [4 per cell]

=====

Record 18
An optimized crystal structure of BeMo2Ir. Source: Alexandria via LeMat-Bulk, functional GGA-PBE.

Cell: 5.098 8.178 2.714 Å, 90.00 91.06 90.00°
Space group C2/m (No. 12)
One atom of each set of equivalent atoms:
Be  0.000  0.000  0.000 [2 per cell]
Mo  0.250  0.250  0.500 [4 per cell]
Ir  0.000  0.500  0.000 [2 per cell]

=====

Record 19
An optimized crystal structure of Be2MoIr. Source: Alexandria via LeMat-Bulk, functional GGA-PBE.

Output
Energy above the lowest structure with this stoichiometry ... 0.2545 eV per atom

Cell: 7.703 2.760 4.778 Å, 90.00 103.50 90.00°
Space group C2/m (No. 12)
One atom of each set of equivalent atoms:
Be  0.243  0.000  0.204 [4 per cell]
Mo  0.000  0.000  0.500 [2 per cell]
Ir  0.000  0.500  0.000 [2 per cell]

=====

Record 20
An optimized crystal structure of Be3MoIr. Source: Alexandria via LeMat-Bulk, functional GGA-PBE.

Output
Energy above the lowest structure with this stoichiometry ... 0.8201 eV per atom

Cell: 4.064 4.064 4.064 Å, 90.00 90.00 90.00°
Space group Pm-3m (No. 221)
One atom of each set of equivalent atoms:
Be  0.000  0.000  0.500 [3 per cell]
Mo  0.000  0.000  0.000 [1 per cell]
Ir  0.500  0.500  0.500 [1 per cell]

=====

no.,energy (eV/atom),density (g cm⁻³)
1,-5.873,10.5
2,-5.915,10.5
3,-5.899,10.7
4,-5.767,11.1
5,-8.627,11.9
6,-7.065,10.9
7,-8.650,11.7
8,-6.782,10.2
9,-8.677,11.6
10,-8.549,11.5
11,-5.586,7.6
12,-8.754,12.0
13,-7.086,11.2
14,-8.612,11.7
15,-6.946,10.9
16,-6.780,10.1
17,-6.356,9.3
18,-8.579,11.5
19,-6.832,10.3
20,-4.766,7.8